Entry 1:
Below is a geometry-optimized Pr3SmTh2P6 structure, with properties calculated at the GGA-PBE level.

Output
**Calculated density**: 6.6 g/cm3
**Energy of formation**: -1569 meV per atom

Geometry as CIF:
```
data_Pr3SmTh2P6
_symmetry_space_group_name_H-M 'C 1 2/m 1'
_symmetry_Int_Tables_number 12
_cell_length_a 7.2152
_cell_length_b 12.5089
_cell_length_c 7.2191
_cell_angle_alpha 90.00
_cell_angle_beta 109.45
_cell_angle_gamma 90.00
loop_
_symmetry_equiv_pos_as_xyz
'x,y,z'
'-x,-y,-z'
'-x,y,-z'
'x,-y,z'
'x+1/2,y+1/2,z'
'-x+1/2,-y+1/2,-z'
'-x+1/2,y+1/2,-z'
'x+1/2,-y+1/2,z'
loop_
_atom_site_label
_atom_site_type_symbol
_atom_site_fract_x
_atom_site_fract_y
_atom_site_fract_z
Pr1 Pr 0.0000 0.0000 0.0000
Pr2 Pr 0.0000 0.3339 0.0000
Sm1 Sm 0.0000 0.5000 0.5000
Th1 Th 0.0000 0.1668 0.5000
P1 P 0.2464 0.0000 0.7432
P2 P 0.2482 0.3328 0.7428
```

=====

Entry 2:
Below is a geometry-optimized PrSm3Tm2P6 structure, with properties calculated at the GGA-PBE level.

Output
**Calculated density**: 6.5 g/cm3
**Energy of formation**: -1558 meV per atom

Geometry as CIF:
```
data_PrSm3Tm2P6
_symmetry_space_group_name_H-M 'C 1 2/m 1'
_symmetry_Int_Tables_number 12
_cell_length_a 7.0552
_cell_length_b 12.2195
_cell_length_c 7.0546
_cell_angle_alpha 90.00
_cell_angle_beta 109.47
_cell_angle_gamma 90.00
loop_
_symmetry_equiv_pos_as_xyz
'x,y,z'
'-x,-y,-z'
'-x,y,-z'
'x,-y,z'
'x+1/2,y+1/2,z'
'-x+1/2,-y+1/2,-z'
'-x+1/2,y+1/2,-z'
'x+1/2,-y+1/2,z'
loop_
_atom_site_label
_atom_site_type_symbol
_atom_site_fract_x
_atom_site_fract_y
_atom_site_fract_z
Pr1 Pr 0.0000 0.0000 0.0000
Sm1 Sm 0.0000 0.1652 0.5000
Sm2 Sm 0.0000 0.5000 0.5000
Tm1 Tm 0.0000 0.3328 0.0000
P1 P 0.2399 0.5000 0.2445
P2 P 0.2473 0.3292 0.7543
```

=====

Entry 3:
Below is a geometry-optimized PrSmTm2P4 structure, with properties calculated at the GGA-PBE level.

Output
**Calculated density**: 6.6 g/cm3
**Energy of formation**: -1561 meV per atom

Geometry as CIF:
```
data_PrSmTm2P4
_symmetry_space_group_name_H-M 'P 1 2/m 1'
_symmetry_Int_Tables_number 10
_cell_length_a 7.0149
_cell_length_b 4.0562
_cell_length_c 7.0225
_cell_angle_alpha 90.00
_cell_angle_beta 109.49
_cell_angle_gamma 90.00
loop_
_symmetry_equiv_pos_as_xyz
'x,y,z'
'-x,-y,-z'
'-x,y,-z'
'x,-y,z'
loop_
_atom_site_label
_atom_site_type_symbol
_atom_site_fract_x
_atom_site_fract_y
_atom_site_fract_z
Pr1 Pr 0.0000 0.0000 0.0000
Sm1 Sm 0.0000 0.5000 0.5000
Tm1 Tm 0.5000 0.0000 0.5000
Tm2 Tm 0.5000 0.5000 0.0000
P1 P 0.2617 0.0000 0.7514
P2 P 0.2636 0.5000 0.2571
```

=====

Entry 4:
Below is a geometry-optimized Pr2SmTmP4 structure, with properties calculated at the GGA-PBE level.

Output
**Calculated density**: 6.1 g/cm3
**Energy of formation**: -1538 meV per atom

Geometry as CIF:
```
data_Pr2SmTmP4
_symmetry_space_group_name_H-M 'P 1 2/m 1'
_symmetry_Int_Tables_number 10
_cell_length_a 7.1286
_cell_length_b 4.1206
_cell_length_c 7.1306
_cell_angle_alpha 90.00
_cell_angle_beta 109.46
_cell_angle_gamma 90.00
loop_
_symmetry_equiv_pos_as_xyz
'x,y,z'
'-x,-y,-z'
'-x,y,-z'
'x,-y,z'
loop_
_atom_site_label
_atom_site_type_symbol
_atom_site_fract_x
_atom_site_fract_y
_atom_site_fract_z
Pr1 Pr 0.0000 0.0000 0.0000
Pr2 Pr 0.0000 0.5000 0.5000
Sm1 Sm 0.5000 0.0000 0.5000
Tm1 Tm 0.5000 0.5000 0.0000
P1 P 0.2590 0.5000 0.2486
P2 P 0.2621 0.0000 0.7583
```

=====

Entry 5:
Below is a geometry-optimized PrSm2TmP4 structure, with properties calculated at the GGA-PBE level.

Output
**Calculated density**: 6.3 g/cm3
**Energy of formation**: -1549 meV per atom

Geometry as CIF:
```
data_PrSm2TmP4
_symmetry_space_group_name_H-M 'P 1 2/m 1'
_symmetry_Int_Tables_number 10
_cell_length_a 7.0885
_cell_length_b 4.0972
_cell_length_c 7.0903
_cell_angle_alpha 90.00
_cell_angle_beta 109.46
_cell_angle_gamma 90.00
loop_
_symmetry_equiv_pos_as_xyz
'x,y,z'
'-x,-y,-z'
'-x,y,-z'
'x,-y,z'
loop_
_atom_site_label
_atom_site_type_symbol
_atom_site_fract_x
_atom_site_fract_y
_atom_site_fract_z
Pr1 Pr 0.0000 0.0000 0.0000
Sm1 Sm 0.0000 0.5000 0.5000
Sm2 Sm 0.5000 0.0000 0.5000
Tm1 Tm 0.5000 0.5000 0.0000
P1 P 0.2571 0.5000 0.2505
P2 P 0.2583 0.0000 0.7545
```

=====

Entry 6:
Below is a geometry-optimized Pr2SmUP4 structure, with properties calculated at the GGA-PBE level.

Output
**Calculated density**: 6.7 g/cm3
**Energy of formation**: -1389 meV per atom

Geometry as CIF:
```
data_Pr2SmUP4
_symmetry_space_group_name_H-M 'P 1 2/m 1'
_symmetry_Int_Tables_number 10
_cell_length_a 7.1039
_cell_length_b 4.0903
_cell_length_c 7.1216
_cell_angle_alpha 90.00
_cell_angle_beta 109.16
_cell_angle_gamma 90.00
loop_
_symmetry_equiv_pos_as_xyz
'x,y,z'
'-x,-y,-z'
'-x,y,-z'
'x,-y,z'
loop_
_atom_site_label
_atom_site_type_symbol
_atom_site_fract_x
_atom_site_fract_y
_atom_site_fract_z
Pr1 Pr 0.0000 0.0000 0.0000
Pr2 Pr 0.5000 0.5000 0.0000
Sm1 Sm 0.0000 0.5000 0.5000
U1 U 0.5000 0.0000 0.5000
P1 P 0.2559 0.0000 0.7362
P2 P 0.2630 0.5000 0.2670
```

=====

Entry 7:
Below is a geometry-optimized PrSm3Y2P6 structure, with properties calculated at the GGA-PBE level.

Output
**Calculated density**: 5.5 g/cm3
**Energy of formation**: -1574 meV per atom

Geometry as CIF:
```
data_PrSm3Y2P6
_symmetry_space_group_name_H-M 'C 1 2/m 1'
_symmetry_Int_Tables_number 12
_cell_length_a 7.0911
_cell_length_b 12.2813
_cell_length_c 7.0919
_cell_angle_alpha 90.00
_cell_angle_beta 109.46
_cell_angle_gamma 90.00
loop_
_symmetry_equiv_pos_as_xyz
'x,y,z'
'-x,-y,-z'
'-x,y,-z'
'x,-y,z'
'x+1/2,y+1/2,z'
'-x+1/2,-y+1/2,-z'
'-x+1/2,y+1/2,-z'
'x+1/2,-y+1/2,z'
loop_
_atom_site_label
_atom_site_type_symbol
_atom_site_fract_x
_atom_site_fract_y
_atom_site_fract_z
Pr1 Pr 0.0000 0.0000 0.0000
Sm1 Sm 0.0000 0.1656 0.5000
Sm2 Sm 0.0000 0.5000 0.5000
Y1 Y 0.0000 0.3330 0.0000
P1 P 0.2434 0.5000 0.2478
P2 P 0.2476 0.3304 0.7514
```

=====

Entry 8:
Below is a geometry-optimized PrSmY2P4 structure, with properties calculated at the GGA-PBE level.

Output
**Calculated density**: 5.1 g/cm3
**Energy of formation**: -1579 meV per atom

Geometry as CIF:
```
data_PrSmY2P4
_symmetry_space_group_name_H-M 'P 1 2/m 1'
_symmetry_Int_Tables_number 10
_cell_length_a 7.0731
_cell_length_b 4.0885
_cell_length_c 7.0777
_cell_angle_alpha 90.00
_cell_angle_beta 109.47
_cell_angle_gamma 90.00
loop_
_symmetry_equiv_pos_as_xyz
'x,y,z'
'-x,-y,-z'
'-x,y,-z'
'x,-y,z'
loop_
_atom_site_label
_atom_site_type_symbol
_atom_site_fract_x
_atom_site_fract_y
_atom_site_fract_z
Pr1 Pr 0.0000 0.0000 0.0000
Sm1 Sm 0.0000 0.5000 0.5000
Y1 Y 0.5000 0.0000 0.5000
Y2 Y 0.5000 0.5000 0.0000
P1 P 0.2573 0.0000 0.7499
P2 P 0.2592 0.5000 0.2556
```